A relaxed structure of NaLi2FeF6. Source: the Alexandria database, functional GGA+U.

Summary:
- D(E_F): 0.000 states/eV per cell
- Energy: -46.97 eV per cell
- Space-group type: Fm-3m

abc: 5.7883 5.7883 5.7883
angles: 60.00 60.00 60.00
Fractional coordinates of all 10 atoms:
Na1 0.0000 0.0000 0.0000
Li1 0.2500 0.2500 0.2500
Li2 0.7500 0.7500 0.7500
Fe1 0.5000 0.5000 0.5000
F1 0.2637 0.2637 0.7363
F2 0.2637 0.7363 0.2637
F3 0.2637 0.7363 0.7363
F4 0.7363 0.2637 0.2637
F5 0.7363 0.2637 0.7363
F6 0.7363 0.7363 0.2637